Below is TaCd2W after structural relaxation, with properties calculated at the PBE-GGA level.

Structure (POSCAR):
```
TaCd2W
1.0
2.852 0.000 0.000
0.000 4.595 0.000
-0.734 0.000 5.712
Ta Cd W
1 2 1
Direct
0.000 0.000 0.000 Ta
0.394 0.000 0.481 Cd
0.401 0.500 0.749 Cd
0.782 0.500 0.234 W
```

Properties
Formation energy ... 0.433 eV per atom
Fermi-level density of states ... 0.635 states/eV per atom


Below is TaCd2W after structural relaxation, with properties calculated at the PBE-GGA level.

Structure (POSCAR):
```
TaCd2W
1.0
-3.831 3.831 2.745
3.831 -3.831 2.745
3.831 3.831 -2.745
Ta Cd W
2 4 2
Direct
0.000 0.000 0.000 Ta
0.750 0.250 0.500 Ta
0.131 0.625 0.006 Cd
0.375 0.381 0.506 Cd
0.619 0.125 0.994 Cd
0.875 0.869 0.494 Cd
0.250 0.750 0.500 W
0.500 0.500 0.000 W
```

Properties
Formation energy ... 1.145 eV per atom
Fermi-level density of states ... 0.759 states/eV per atom


Below is Ta2CdW after structural relaxation, with properties calculated at the PBE-GGA level.

Structure (POSCAR):
```
Ta2CdW
1.0
1.442 0.832 10.247
-1.442 0.832 10.247
0.000 -1.665 10.247
Ta Cd W
2 1 1
Direct
0.247 0.247 0.247 Ta
0.753 0.753 0.753 Ta
0.000 0.000 0.000 Cd
0.500 0.500 0.500 W
```

Properties
Formation energy ... 0.353 eV per atom
Fermi-level density of states ... 0.702 states/eV per atom


Below is TaCdW after structural relaxation, with properties calculated at the PBE-GGA level.

Structure (POSCAR):
```
TaCdW
1.0
-1.373 2.231 4.417
1.373 -2.231 4.417
1.373 2.231 -4.417
Ta Cd W
1 1 1
Direct
0.000 0.000 0.000 Ta
0.329 0.329 0.000 Cd
0.662 0.662 0.000 W
```

Properties
Formation energy ... 0.439 eV per atom
Fermi-level density of states ... 0.886 states/eV per atom


Below is TaCdW2 after structural relaxation, with properties calculated at the PBE-GGA level.

Structure (POSCAR):
```
TaCdW2
1.0
1.627 -2.283 0.000
1.627 2.283 0.000
0.000 0.000 9.496
Ta Cd W
1 1 2
Direct
0.000 0.000 0.000 Ta
0.500 0.500 0.730 Cd
0.000 0.000 0.468 W
0.500 0.500 0.239 W
```

Properties
Formation energy ... 0.220 eV per atom
Fermi-level density of states ... 0.665 states/eV per atom


Below is Ta2CdW after structural relaxation, with properties calculated at the PBE-GGA level.

Structure (POSCAR):
```
Ta2CdW
1.0
4.893 -1.409 0.000
4.893 1.409 0.000
-0.609 0.000 5.274
Ta Cd W
2 1 1
Direct
0.000 0.000 0.000 Ta
0.248 0.248 0.746 Ta
0.750 0.750 0.250 Cd
0.496 0.496 0.509 W
```

Properties
Formation energy ... 0.372 eV per atom
Fermi-level density of states ... 0.777 states/eV per atom


Below is TaCdW2 after structural relaxation, with properties calculated at the PBE-GGA level.

Structure (POSCAR):
```
TaCdW2
1.0
-3.733 3.733 2.776
3.733 -3.733 2.776
3.733 3.733 -2.776
Ta Cd W
2 2 4
Direct
0.000 0.000 0.000 Ta
0.750 0.250 0.500 Ta
0.250 0.750 0.500 Cd
0.500 0.500 0.000 Cd
0.107 0.125 0.482 W
0.375 0.893 0.018 W
0.643 0.625 0.518 W
0.875 0.357 0.982 W
```

Properties
Formation energy ... 1.229 eV per atom
Fermi-level density of states ... 0.837 states/eV per atom


Below is TaCd2W after structural relaxation, with properties calculated at the PBE-GGA level.

Structure (POSCAR):
```
TaCd2W
1.0
3.403 0.000 0.000
0.000 3.403 0.000
0.000 0.000 6.743
Ta Cd W
1 2 1
Direct
0.000 0.000 0.000 Ta
0.000 0.000 0.453 Cd
0.500 0.500 0.712 Cd
0.500 0.500 0.172 W
```

Properties
Formation energy ... 0.351 eV per atom
Fermi-level density of states ... 0.732 states/eV per atom


Below is TaCdW2 after structural relaxation, with properties calculated at the PBE-GGA level.

Structure (POSCAR):
```
TaCdW2
1.0
1.419 0.819 10.214
-1.419 0.819 10.214
0.000 -1.638 10.214
Ta Cd W
1 1 2
Direct
0.000 0.000 0.000 Ta
0.754 0.754 0.754 Cd
0.250 0.250 0.250 W
0.505 0.505 0.505 W
```

Properties
Formation energy ... 0.475 eV per atom
Fermi-level density of states ... 1.260 states/eV per atom


Below is Ta2CdW after structural relaxation, with properties calculated at the PBE-GGA level.

Structure (POSCAR):
```
Ta2CdW
1.0
-2.064 2.064 4.241
2.064 -2.064 4.241
2.064 2.064 -4.241
Ta Cd W
2 1 1
Direct
0.000 0.000 0.000 Ta
0.750 0.250 0.500 Ta
0.250 0.750 0.500 Cd
0.500 0.500 0.000 W
```

Properties
Formation energy ... 0.425 eV per atom
Fermi-level density of states ... 1.018 states/eV per atom


Below is Ta2CdW after structural relaxation, with properties calculated at the PBE-GGA level.

Structure (POSCAR):
```
Ta2CdW
1.0
3.308 0.000 0.000
0.000 3.308 0.000
0.000 0.000 6.691
Ta Cd W
2 1 1
Direct
0.000 0.000 0.224 Ta
0.000 0.000 0.776 Ta
0.500 0.500 0.500 Cd
0.500 0.500 0.000 W
```

Properties
Formation energy ... 0.160 eV per atom
Fermi-level density of states ... 0.390 states/eV per atom


Below is TaCdW after structural relaxation, with properties calculated at the PBE-GGA level.

Structure (POSCAR):
```
TaCdW
1.0
0.000 2.242 7.227
1.677 0.000 7.227
1.677 2.242 0.000
Ta Cd W
1 1 1
Direct
0.000 0.000 0.000 Ta
0.675 0.675 0.325 Cd
0.344 0.344 0.656 W
```

Properties
Formation energy ... 0.292 eV per atom
Fermi-level density of states ... 1.112 states/eV per atom